PBE with a Hubbard U PaFeO4, relaxed; raw total energy = -8.481 eV per atom
1.0
5.181 0.000 0.000
0.000 5.162 0.000
0.000 0.000 5.892
Pa Fe O
2 2 8
direct
0.000 0.000 0.000
0.000 0.500 0.500
0.500 0.000 0.628
0.500 0.500 0.128
0.195 0.206 0.712
0.195 0.294 0.212
0.316 0.750 0.427
0.316 0.750 0.927
0.684 0.250 0.427
0.684 0.250 0.927
0.805 0.706 0.212
0.805 0.794 0.712